Entry 1:
Below is a relaxed Tb2Er3Al2 crystal, with properties calculated at the GGA-PBE level.

Values from the calculation:
**Energy above the most stable polymorph in this dataset**: 146.4 meV/atom
**Calculated total energy**: -4.410 eV/atom

a b c (Å): 12.1673 12.1673 3.3479
angles (deg): 90.00 90.00 158.24
Closest atoms and distances in Å follow each position.
Positions (direct):
Tb 0.2095 0.7905 0.0000  4 Tb 3.00-3.35
Tb 0.7905 0.2095 0.0000  4 Tb 3.00-3.35
Er 0.3671 0.6329 0.5000  3 Er 3.18-3.35, 4 Al 3.25, 4 Tb 3.38
Er 0.5000 0.5000 0.5000  4 Er 3.18-3.35, 8 Al 3.26
Er 0.6329 0.3671 0.5000  3 Er 3.18-3.35, 4 Al 3.25, 4 Tb 3.38
Al 0.0672 0.9328 0.0000  3 Al 3.21-3.35, 8 Er 3.25-3.26, 1 Tb 3.40
Al 0.9328 0.0672 0.0000  3 Al 3.21-3.35, 8 Er 3.25-3.26, 1 Tb 3.40

***

Entry 2:
Below is a relaxed ReSnBi2 crystal, with properties calculated at the GGA-PBE level.

Values from the calculation:
**Calculated total energy**: -5.068 eV/atom

a b c (Å): 12.3838 12.3838 12.3838
angles (deg): 14.59 14.59 14.59
Closest atoms and distances in Å follow each position.
Positions (direct):
Re 0.0000 0.0000 0.0000  2 Bi 2.83, 6 Re 3.14
Sn 0.5000 0.5000 0.5000  6 Sn 3.14
Bi 0.0771 0.0771 0.0771  1 Re 2.83, 6 Bi 3.14
Bi 0.9229 0.9229 0.9229  1 Re 2.83, 6 Bi 3.14